Pm3TmTh2Se6, optimized geometry, DFT PBE; uncorrected formation energy = -1.70 eV/atom; spin magnetization = 0.0000 μB per atom; Fermi-level density of states = 7.2 states/eV per cell; electronic total energy = -6.23 eV per atom
1.0
-1.740 3.530 -1.338
-7.468 -3.793 -0.293
1.157 1.580 9.117
Se Tm Pm Th
6 1 3 2
direct
0.000 0.237 0.999
0.000 0.763 0.001
0.336 0.412 0.671
0.661 0.080 0.322
0.339 0.920 0.678
0.664 0.588 0.329
0.500 0.000 0.000
0.500 0.500 0.000
0.830 0.167 0.660
0.170 0.833 0.340
0.831 0.660 0.661
0.169 0.340 0.339

=====

Gd2MgSb, optimized geometry, DFT PBE; uncorrected formation energy = -0.46 eV/atom; spin magnetization = 3.7523 μB per atom; Fermi-level density of states = 5.2 states/eV per cell; electronic total energy = -8.93 eV per atom
1.0
5.364 0.000 0.000
2.682 4.646 0.000
2.682 1.549 4.380
Mg Gd Sb
1 2 1
direct
0.000 0.000 0.000
0.250 0.250 0.250
0.750 0.750 0.750
0.500 0.500 0.500

=====

GaFePt5, optimized geometry, DFT PBE; spin magnetization = 0.6036 μB per atom; E_form = -0.1351 eV/atom; Fermi-level density of states = 8.9 states/eV per cell; electronic total energy = -6.09 eV per atom
1.0
-0.625 5.750 4.784
3.051 -2.481 6.393
4.988 3.135 4.638
Pt Fe Ga
10 2 2
direct
0.670 0.889 0.036
0.818 0.182 0.250
0.182 0.818 0.750
0.889 0.670 0.536
0.469 0.785 0.881
0.330 0.111 0.964
0.111 0.330 0.464
0.785 0.469 0.381
0.215 0.531 0.619
0.531 0.215 0.119
0.453 0.547 0.750
0.547 0.453 0.250
0.000 0.000 0.500
0.000 0.000 0.000